Entry 1:
TbPrTh2 | Alexandria via LeMat-Bulk | PBE-GGA | relaxed; symmetry = No. 11; density of states at the Fermi level = 13.322 states/eV/cell; E above lowest polymorph = 0 meV/atom; DFT formation energy = 0.030 eV per atom; magnetization = 0.000 μB/f.u.
1.0
5.032 0.000 -0.587
0.000 5.103 0.000
-3.822 0.000 10.768
Th Pr Tb
4 2 2
Cartesian
-1.449 3.827 9.271 Th
0.144 3.827 1.224 Th
1.066 1.276 8.956 Th
2.659 1.276 0.909 Th
0.772 3.827 6.455 Pr
0.438 1.276 3.726 Pr
-1.745 1.276 6.753 Tb
2.955 3.827 3.427 Tb

---

Entry 2:
TbPrTh4 | Alexandria via LeMat-Bulk | PBE-GGA | relaxed; symmetry = No. 65; density of states at the Fermi level = 9.634 states/eV/cell; E above lowest polymorph = 0 meV/atom; DFT formation energy = 0.054 eV per atom; magnetization = 0.000 μB/f.u.
1.0
-3.367 3.750 -0.287
-0.912 -1.190 -4.854
-3.871 -6.691 2.368
Tb Th Pr
1 4 1
Cartesian
-2.139 1.280 -2.571 Tb
-2.343 -2.231 -1.671 Th
-4.474 -0.945 -4.245 Th
-5.806 -1.900 -1.102 Th
-3.675 -3.186 1.471 Th
0.000 0.000 0.000 Pr

---

Entry 3:
Tb3Pr2Th2 | Alexandria via LeMat-Bulk | PBE-GGA | relaxed; symmetry = No. 12; density of states at the Fermi level = 10.825 states/eV/cell; DFT formation energy = 0.042 eV per atom; magnetization = 0.000 μB/f.u.
1.0
3.547 0.588 0.385
1.857 11.217 -0.286
1.184 -0.040 6.149
Th Pr Tb
2 2 3
Cartesian
3.609 9.908 2.558 Th
2.978 1.857 3.690 Th
5.380 8.503 5.378 Pr
1.208 3.261 0.870 Pr
0.000 0.000 0.000 Tb
4.189 5.144 4.517 Tb
2.399 6.621 1.731 Tb

---

Entry 4:
Tb2Pr2Th | Alexandria via LeMat-Bulk | PBE-GGA | relaxed; symmetry = No. 166; density of states at the Fermi level = 6.242 states/eV/cell; E above lowest polymorph = 0 meV/atom; DFT formation energy = 0.015 eV per atom; magnetization = 0.000 μB/f.u.
1.0
-2.207 -2.837 -0.509
0.074 -2.795 2.314
-11.028 4.671 8.844
Th Tb Pr
1 2 2
Cartesian
0.000 0.000 0.000 Th
-3.390 -2.505 2.776 Tb
-9.771 1.544 7.873 Tb
-4.807 0.722 3.874 Pr
-8.354 -1.684 6.775 Pr

---

Entry 5:
TbPrTh2 | Alexandria via LeMat-Bulk | PBE-GGA | relaxed; symmetry = No. 123; density of states at the Fermi level = 6.688 states/eV/cell; E above lowest polymorph = 52 meV/atom; DFT formation energy = 0.082 eV per atom; magnetization = 0.000 μB/f.u.
1.0
3.570 0.000 0.000
0.000 3.570 0.000
0.000 0.000 10.374
Th Pr Tb
2 1 1
Cartesian
0.000 0.000 2.542 Th
0.000 0.000 7.832 Th
1.785 1.785 5.187 Pr
1.785 1.785 0.000 Tb

---

Entry 6:
Tb12Pr2Th | Alexandria via LeMat-Bulk | PBE-GGA | relaxed; symmetry = No. 47; density of states at the Fermi level = 45.096 states/eV/cell; DFT formation energy = 0.172 eV per atom; magnetization = 0.002 μB/f.u.
1.0
0.067 5.998 -3.074
-2.716 -0.259 6.164
22.253 4.883 10.012
Th Tb Pr
2 24 4
Cartesian
-1.358 -0.130 3.082 Th
22.286 7.882 8.474 Th
14.985 3.288 6.742 Tb
11.853 4.179 6.407 Tb
17.468 5.582 12.622 Tb
19.911 5.949 10.028 Tb
-0.308 4.673 3.073 Tb
10.984 4.161 9.706 Tb
4.618 7.334 6.359 Tb
13.660 6.158 8.287 Tb
10.530 7.053 7.945 Tb
2.135 5.040 0.479 Tb
5.942 4.464 4.814 Tb
4.408 0.967 1.983 Tb
1.017 1.803 1.528 Tb
7.748 6.439 6.701 Tb
9.075 3.573 5.149 Tb
18.860 8.711 8.004 Tb
15.195 9.655 11.118 Tb
3.083 3.837 3.528 Tb
18.586 8.819 11.573 Tb
7.227 3.333 8.013 Tb
12.377 7.286 5.086 Tb
16.520 6.785 9.573 Tb
8.617 6.465 3.397 Tb
0.743 1.912 5.098 Tb
14.924 3.443 10.407 Pr
16.320 6.573 5.790 Pr
4.675 7.178 2.692 Pr
3.287 4.050 7.312 Pr